No. 1
VASP calculation (PBE with a Hubbard U) on a relaxed structure of ReMoBrO2.

Cell lengths 3.9554, 3.9554, 5.2277 Å; angles 90.00, 90.00, 90.00 degrees
With the nearest neighbours (Å) after each atom.
Space group P4/mmm (No. 123)
Symmetry-distinct sites (fractional):
Re 0.0000 0.0000 0.0000  2 Br 2.61, 4 Mo 2.80
Mo 0.5000 0.5000 0.0000  4 Re 2.80
Br 0.0000 0.0000 0.5000  4 O 1.98
O 0.0000 0.5000 0.5000  2 Br 1.98

No. 2
VASP calculation (PBE with a Hubbard U) on a relaxed structure of LiPm2NiO6.

Cell lengths 5.2620, 5.6561, 9.1562 Å; angles 90.00, 124.33, 90.00 degrees
With the nearest neighbours (Å) after each atom.
Space group P2_1/c (No. 14)
Symmetry-distinct sites (fractional):
Li 0.0000 0.0000 0.0000  6 O 2.01-2.10
Pm 0.2303 0.0710 0.7487  8 O 2.37-2.62
Ni 0.5000 0.0000 0.5000  6 O 1.87-1.89
O 0.1710 0.1889 0.4610  1 Ni 1.89, 1 Li 2.10
O 0.2737 0.7202 0.4573  1 Ni 1.88, 1 Li 2.10
O 0.3366 0.0178 0.2588  1 Ni 1.87, 1 Li 2.01

Ordered calculated volume results: 82, 113; unit Å³/f.u..
Ordered VASP energy results: -23.79, -130.14; unit eV/cell.